A.
Density functional theory data (PBE-GGA) for an optimized crystal structure of Dy4Er3Tm5.

a b c (Å): 8.418 8.418 9.165
angles (deg): 114.78 114.78 40.30
Positions (direct):
Dy: 0.081 0.081 0.441
Dy: 0.214 0.214 0.879
Dy: 0.786 0.786 0.121
Dy: 0.919 0.919 0.559
Er: 0.211 0.211 0.234
Er: 0.500 0.500 0.000
Er: 0.789 0.789 0.766
Tm: 0.000 0.000 0.000
Tm: 0.328 0.328 0.615
Tm: 0.428 0.428 0.299
Tm: 0.572 0.572 0.701
Tm: 0.672 0.672 0.385

Computed properties:
DOS(E_F)   19.4 states/eV per cell


B.
Density functional theory data (PBE-GGA) for an optimized crystal structure of Dy4Er3Tm5.

a b c (Å): 6.064 7.013 8.570
angles (deg): 89.97 89.98 89.93
Positions (direct):
Dy: 0.167 0.000 0.332
Dy: 0.333 0.749 0.667
Dy: 0.667 0.251 0.333
Dy: 0.833 0.000 0.668
Er: 0.333 0.250 0.667
Er: 0.500 0.500 0.000
Er: 0.667 0.750 0.333
Tm: 0.000 0.251 0.000
Tm: 0.000 0.749 0.000
Tm: 0.166 0.500 0.332
Tm: 0.500 0.000 0.000
Tm: 0.834 0.500 0.668

Computed properties:
DOS(E_F)   15.7 states/eV per cell


Which of them is the most stable, and which is the least stable? B and A, in that order.


A.
Density functional theory data (PBE-GGA) for an optimized crystal structure of DyEr6Tm2.

a b c (Å): 9.637 9.637 6.157
angles (deg): 91.20 91.20 104.33
Positions (direct):
Dy: 0.029 0.971 0.750
Dy: 0.971 0.029 0.250
Er: 0.035 0.692 0.409
Er: 0.137 0.624 0.908
Er: 0.308 0.965 0.091
Er: 0.321 0.518 0.475
Er: 0.376 0.863 0.592
Er: 0.482 0.679 0.025
Er: 0.518 0.321 0.975
Er: 0.624 0.137 0.408
Er: 0.679 0.482 0.525
Er: 0.692 0.035 0.909
Er: 0.863 0.376 0.092
Er: 0.965 0.308 0.591
Tm: 0.183 0.301 0.015
Tm: 0.301 0.183 0.515
Tm: 0.699 0.817 0.485
Tm: 0.817 0.699 0.985

Computed properties:
DOS(E_F)   28.0 states/eV per cell


B.
Density functional theory data (PBE-GGA) for an optimized crystal structure of DyEr6Tm2.

a b c (Å): 8.419 8.419 8.419
angles (deg): 48.22 48.22 48.22
Positions (direct):
Dy: 0.000 0.000 0.000
Er: 0.231 0.720 0.720
Er: 0.438 0.945 0.945
Er: 0.720 0.231 0.720
Er: 0.720 0.720 0.231
Er: 0.945 0.438 0.945
Er: 0.945 0.945 0.438
Tm: 0.248 0.248 0.248
Tm: 0.414 0.414 0.414

Computed properties:
DOS(E_F)   14.2 states/eV per cell


Which of them is the most stable, and which is the least stable? A and B, in that order.


A.
Density functional theory data (PBE-GGA) for an optimized crystal structure of Dy7ErTm3.

a b c (Å): 6.920 5.472 9.802
angles (deg): 90.00 110.53 90.00
Positions (direct):
Dy: 0.000 0.000 0.000
Dy: 0.146 0.500 0.291
Dy: 0.322 0.500 0.641
Dy: 0.416 0.000 0.831
Dy: 0.584 0.000 0.169
Dy: 0.678 0.500 0.359
Dy: 0.854 0.500 0.709
Er: 0.000 0.000 0.500
Tm: 0.279 0.500 0.000
Tm: 0.500 0.000 0.500
Tm: 0.721 0.500 0.000

Computed properties:
DOS(E_F)   17.2 states/eV per cell


B.
Density functional theory data (PBE-GGA) for an optimized crystal structure of Dy7ErTm3.

a b c (Å): 8.332 8.332 5.736
angles (deg): 110.10 110.10 83.20
Positions (direct):
Dy: 0.000 0.000 0.000
Dy: 0.099 0.509 0.304
Dy: 0.292 0.292 0.793
Dy: 0.491 0.901 0.696
Dy: 0.509 0.099 0.304
Dy: 0.708 0.708 0.207
Dy: 0.901 0.491 0.696
Er: 0.000 0.000 0.500
Tm: 0.294 0.706 0.000
Tm: 0.500 0.500 0.500
Tm: 0.706 0.294 0.000

Computed properties:
DOS(E_F)   15.6 states/eV per cell


Which of them is the most stable, and which is the least stable? A and B, in that order.


A.
Density functional theory data (PBE-GGA) for an optimized crystal structure of DyErTm4.

a b c (Å): 6.469 6.469 6.469
angles (deg): 60.00 60.00 60.00
Positions (direct):
Dy: 0.000 0.000 0.000
Er: 0.750 0.750 0.750
Tm: 0.375 0.375 0.375
Tm: 0.375 0.375 0.875
Tm: 0.375 0.875 0.375
Tm: 0.875 0.375 0.375

Computed properties:
DOS(E_F)   10.8 states/eV per cell


B.
Density functional theory data (PBE-GGA) for an optimized crystal structure of DyErTm4.

a b c (Å): 8.410 8.410 6.361
angles (deg): 100.35 100.35 117.97
Positions (direct):
Dy: 0.000 0.000 0.250
Dy: 0.000 0.000 0.750
Er: 0.413 0.587 0.750
Er: 0.587 0.413 0.250
Tm: 0.103 0.711 0.465
Tm: 0.169 0.426 0.122
Tm: 0.289 0.897 0.035
Tm: 0.426 0.169 0.622
Tm: 0.574 0.831 0.378
Tm: 0.711 0.103 0.965
Tm: 0.831 0.574 0.878
Tm: 0.897 0.289 0.535

Computed properties:
DOS(E_F)   19.6 states/eV per cell


Which of them is the most stable, and which is the least stable? B and A, in that order.


A.
Density functional theory data (PBE-GGA) for an optimized crystal structure of Dy5Er2Tm2.

a b c (Å): 7.860 7.860 7.861
angles (deg): 107.46 107.46 36.80
Positions (direct):
Dy: 0.000 0.000 0.000
Dy: 0.222 0.222 0.334
Dy: 0.333 0.333 0.000
Dy: 0.667 0.667 0.000
Dy: 0.778 0.778 0.666
Er: 0.110 0.110 0.666
Er: 0.890 0.890 0.334
Tm: 0.445 0.445 0.666
Tm: 0.555 0.555 0.334

Computed properties:
DOS(E_F)   11.4 states/eV per cell


B.
Density functional theory data (PBE-GGA) for an optimized crystal structure of Dy5Er2Tm2.

a b c (Å): 10.202 10.202 10.202
angles (deg): 86.54 103.63 145.56
Positions (direct):
Dy: 0.141 0.473 0.955
Dy: 0.141 0.687 0.169
Dy: 0.200 0.048 0.248
Dy: 0.200 0.452 0.652
Dy: 0.518 0.187 0.045
Dy: 0.518 0.973 0.831
Dy: 0.563 0.496 0.567
Dy: 0.800 0.548 0.348
Dy: 0.800 0.952 0.752
Dy: 0.929 0.996 0.433
Er: 0.233 0.034 0.699
Er: 0.335 0.534 0.301
Er: 0.401 0.401 0.000
Er: 0.401 0.901 0.500
Tm: 0.793 0.204 0.317
Tm: 0.793 0.975 0.088
Tm: 0.887 0.475 0.683
Tm: 0.887 0.704 0.912

Computed properties:
DOS(E_F)   26.1 states/eV per cell


Which of them is the most stable, and which is the least stable? A and B, in that order.


A.
Density functional theory data (PBE-GGA) for an optimized crystal structure of DyEr4Tm7.

a b c (Å): 6.613 6.613 12.494
angles (deg): 115.27 115.27 51.55
Positions (direct):
Dy: 0.000 0.000 0.000
Er: 0.245 0.245 0.682
Er: 0.364 0.364 0.225
Er: 0.636 0.636 0.775
Er: 0.755 0.755 0.318
Tm: 0.061 0.061 0.323
Tm: 0.212 0.212 0.924
Tm: 0.365 0.365 0.499
Tm: 0.500 0.500 0.000
Tm: 0.635 0.635 0.501
Tm: 0.788 0.788 0.076
Tm: 0.939 0.939 0.677

Computed properties:
DOS(E_F)   20.5 states/eV per cell


B.
Density functional theory data (PBE-GGA) for an optimized crystal structure of DyEr4Tm7.

a b c (Å): 6.413 6.691 8.883
angles (deg): 85.15 76.68 81.25
Positions (direct):
Dy: 0.000 0.000 0.000
Er: 0.163 0.618 0.310
Er: 0.362 0.192 0.713
Er: 0.638 0.808 0.287
Er: 0.837 0.382 0.690
Tm: 0.000 0.500 0.000
Tm: 0.188 0.109 0.388
Tm: 0.318 0.702 0.642
Tm: 0.483 0.250 0.050
Tm: 0.517 0.750 0.950
Tm: 0.682 0.298 0.358
Tm: 0.812 0.891 0.612

Computed properties:
DOS(E_F)   20.9 states/eV per cell


Which of them is the most stable, and which is the least stable? B and A, in that order.


A.
Density functional theory data (PBE-GGA) for an optimized crystal structure of Dy5Er12Tm2.

a b c (Å): 6.416 8.766 11.250
angles (deg): 109.54 93.00 98.16
Positions (direct):
Dy: 0.000 0.000 0.000
Dy: 0.196 0.987 0.696
Dy: 0.486 0.608 0.281
Dy: 0.514 0.392 0.719
Dy: 0.804 0.013 0.304
Er: 0.033 0.740 0.369
Er: 0.053 0.343 0.232
Er: 0.222 0.401 0.959
Er: 0.298 0.828 0.139
Er: 0.335 0.129 0.423
Er: 0.476 0.800 0.862
Er: 0.524 0.200 0.138
Er: 0.665 0.871 0.577
Er: 0.702 0.172 0.861
Er: 0.778 0.599 0.041
Er: 0.947 0.657 0.768
Er: 0.967 0.260 0.631
Tm: 0.264 0.554 0.539
Tm: 0.736 0.446 0.461

Computed properties:
DOS(E_F)   26.8 states/eV per cell


B.
Density functional theory data (PBE-GGA) for an optimized crystal structure of Dy5Er12Tm2.

a b c (Å): 8.926 8.926 8.477
angles (deg): 91.74 91.74 61.68
Positions (direct):
Dy: 0.000 0.000 0.000
Dy: 0.231 0.231 0.071
Dy: 0.294 0.294 0.480
Dy: 0.706 0.706 0.520
Dy: 0.769 0.769 0.929
Er: 0.031 0.671 0.260
Er: 0.075 0.075 0.374
Er: 0.179 0.562 0.831
Er: 0.329 0.969 0.740
Er: 0.438 0.821 0.169
Er: 0.443 0.443 0.164
Er: 0.557 0.557 0.836
Er: 0.562 0.179 0.831
Er: 0.671 0.031 0.260
Er: 0.821 0.438 0.169
Er: 0.925 0.925 0.626
Er: 0.969 0.329 0.740
Tm: 0.327 0.673 0.500
Tm: 0.673 0.327 0.500

Computed properties:
DOS(E_F)   26.4 states/eV per cell


Which of them is the most stable, and which is the least stable? A and B, in that order.


A.
Density functional theory data (PBE-GGA) for an optimized crystal structure of DyErTm3.

a b c (Å): 6.180 6.596 9.046
angles (deg): 72.39 89.99 62.10
Positions (direct):
Dy: 0.033 0.101 0.150
Dy: 0.967 0.899 0.850
Er: 0.366 0.100 0.650
Er: 0.634 0.900 0.350
Tm: 0.167 0.499 0.250
Tm: 0.234 0.700 0.549
Tm: 0.434 0.300 0.949
Tm: 0.566 0.700 0.051
Tm: 0.766 0.300 0.451
Tm: 0.833 0.501 0.750

Computed properties:
DOS(E_F)   17.4 states/eV per cell


B.
Density functional theory data (PBE-GGA) for an optimized crystal structure of DyErTm3.

a b c (Å): 8.351 8.351 11.368
angles (deg): 90.00 90.00 155.29
Positions (direct):
Dy: 0.188 0.812 0.750
Dy: 0.812 0.188 0.250
Er: 0.485 0.515 0.250
Er: 0.515 0.485 0.750
Tm: 0.151 0.849 0.250
Tm: 0.347 0.653 0.501
Tm: 0.347 0.653 0.999
Tm: 0.653 0.347 0.001
Tm: 0.653 0.347 0.499
Tm: 0.849 0.151 0.750

Computed properties:
DOS(E_F)   17.2 states/eV per cell


Which of them is the most stable, and which is the least stable? A and B, in that order.


A.
Density functional theory data (PBE-GGA) for an optimized crystal structure of Dy2Er3Tm5.

a b c (Å): 9.340 9.340 9.350
angles (deg): 108.48 108.48 111.37
Positions (direct):
Dy: 0.020 0.273 0.047
Dy: 0.273 0.020 0.547
Dy: 0.727 0.980 0.453
Dy: 0.980 0.727 0.953
Er: 0.022 0.978 0.750
Er: 0.224 0.472 0.451
Er: 0.472 0.224 0.951
Er: 0.528 0.776 0.049
Er: 0.776 0.528 0.549
Er: 0.978 0.022 0.250
Tm: 0.133 0.381 0.762
Tm: 0.228 0.772 0.750
Tm: 0.274 0.726 0.250
Tm: 0.381 0.133 0.262
Tm: 0.476 0.524 0.250
Tm: 0.524 0.476 0.750
Tm: 0.619 0.867 0.738
Tm: 0.726 0.274 0.750
Tm: 0.772 0.228 0.250
Tm: 0.867 0.619 0.238

Computed properties:
DOS(E_F)   34.5 states/eV per cell


B.
Density functional theory data (PBE-GGA) for an optimized crystal structure of Dy2Er3Tm5.

a b c (Å): 10.937 10.937 10.937
angles (deg): 109.69 79.74 147.27
Positions (direct):
Dy: 0.157 0.100 0.257
Dy: 0.343 0.600 0.944
Dy: 0.657 0.400 0.056
Dy: 0.843 0.900 0.743
Er: 0.250 0.250 0.000
Er: 0.250 0.340 0.591
Er: 0.250 0.840 0.090
Er: 0.750 0.160 0.910
Er: 0.750 0.660 0.409
Er: 0.750 0.750 0.000
Tm: 0.156 0.598 0.754
Tm: 0.250 0.501 0.251
Tm: 0.250 0.750 0.500
Tm: 0.250 0.999 0.749
Tm: 0.344 0.098 0.442
Tm: 0.656 0.902 0.558
Tm: 0.750 0.001 0.251
Tm: 0.750 0.250 0.500
Tm: 0.750 0.499 0.749
Tm: 0.844 0.402 0.246

Computed properties:
DOS(E_F)   29.9 states/eV per cell


Which of them is the most stable, and which is the least stable? A and B, in that order.